# 1
VASP calculation (PBE) on a relaxed structure of Nd6ZnFe13.

As for the formation energy: -0.019 eV/atom.

The structure belongs to space group I4/mcm (No. 140); the cell edges are 8.0398, 8.0398 and 22.9955 Å and the angles 90.00°, 90.00° and 90.00°. The asymmetric unit holds Nd at (0.0000, 0.0000, 0.1070), Nd at (0.1645, 0.3355, 0.1868), Zn at (0.0000, 0.0000, 0.2500), Fe at (0.0000, 0.5000, 0.0000), Fe at (0.0663, 0.2098, 0.5000), Fe at (0.1134, 0.3866, 0.4046) and Fe at (0.1790, 0.3210, 0.0595).

---

# 2
VASP calculation (PBE) on a relaxed structure of Mo3C5.

The calculation puts the energy above the most stable polymorph in this dataset at 87.8 meV per atom. As for the formation energy: 0.847 eV/atom.

The structure belongs to space group Cm (No. 8); the cell edges are 5.9556, 10.6978 and 5.9035 Å and the angles 90.00°, 114.04° and 90.00°. The asymmetric unit holds Mo at (0.0000, 0.0000, 0.0000), Mo at (0.0536, 0.2889, 0.7436), Mo at (0.1112, 0.3637, 0.2731), Mo at (0.2037, 0.0000, 0.5231), C at (0.1607, 0.1896, 0.1175), C at (0.2522, 0.4320, 0.6523), C at (0.2813, 0.1805, 0.3808), C at (0.3589, 0.5000, 0.2573), C at (0.3619, 0.0000, 0.2698) and C at (0.4429, 0.0653, 0.8870).

---

# 3
VASP calculation (PBE) on a relaxed structure of HPdSe2Br.

The calculation puts the energy above the most stable polymorph in this dataset at 298.8 meV per atom.

The structure belongs to space group P4/mmm (No. 123); the cell edges are 4.9558, 4.9558 and 5.3753 Å and the angles 90.00°, 90.00° and 90.00°. The asymmetric unit holds H at (0.0000, 0.0000, 0.0000), Pd at (0.5000, 0.5000, 0.5000), Se at (0.0000, 0.5000, 0.5000) and Br at (0.5000, 0.5000, 0.0000).